A plane-wave DFT calculation with PBE was carried out for ScTc2As2 after structural relaxation.

## Properties
raw total energy	-38.5	eV per cell

Cell lengths 5.7049, 5.7049, 5.7049 Å; angles 136.51, 136.51, 63.20 degrees
With the nearest neighbours (Å) after each atom.
Atoms (fractional coordinates):
Sc: 0.0000 0.0000 0.0000  8 Tc 3.22, 8 As 3.24
Tc: 0.2500 0.7500 0.5000  4 As 2.43
Tc: 0.7500 0.2500 0.5000  4 As 2.43
As: 0.3726 0.3726 0.0000  4 Tc 2.43, 1 As 2.48
As: 0.6274 0.6274 0.0000  4 Tc 2.43, 1 As 2.48